Entry 1:
DFT (GGA-PBE) results for a relaxed structure of KSr2Os.

Values from the calculation:
The total energy comes out at -3.15 eV/atom. Its energy above the lowest structure with this stoichiometry is 0.112 eV per atom. The value obtained for the formation energy is 0.7769 eV/atom. Its density of states at the Fermi level is 18.106 states/eV/cell. The total magnetization is 0.0 μB per formula unit. As for the space-group type: Fm-3m, No. 225.

The structure in CIF format:
```
data_KSr2Os
_chemical_formula_sum 'K4 Sr8 Os4'
_cell_length_a 7.815
_cell_length_b 7.815
_cell_length_c 7.815
_cell_angle_alpha 90.00
_cell_angle_beta 90.00
_cell_angle_gamma 90.00
_symmetry_space_group_name_H-M 'P 1'
_symmetry_Int_Tables_number 1
loop_
_symmetry_equiv_pos_as_xyz
'x,y,z'
loop_
_atom_site_label
_atom_site_type_symbol
_atom_site_fract_x
_atom_site_fract_y
_atom_site_fract_z
_atom_site_occupancy
K1 K 0.000 0.000 0.000 1
K2 K 0.000 0.500 0.500 1
K3 K 0.500 0.000 0.500 1
K4 K 0.500 0.500 0.000 1
Sr1 Sr 0.250 0.250 0.250 1
Sr2 Sr 0.250 0.250 0.750 1
Sr3 Sr 0.250 0.750 0.250 1
Sr4 Sr 0.250 0.750 0.750 1
Sr5 Sr 0.750 0.250 0.250 1
Sr6 Sr 0.750 0.250 0.750 1
Sr7 Sr 0.750 0.750 0.250 1
Sr8 Sr 0.750 0.750 0.750 1
Os1 Os 0.000 0.000 0.500 1
Os2 Os 0.000 0.500 0.000 1
Os3 Os 0.500 0.000 0.000 1
Os4 Os 0.500 0.500 0.500 1
```

---

Entry 2:
DFT (GGA-PBE) results for a relaxed structure of KSr2Os.

Values from the calculation:
The total energy comes out at -2.95 eV/atom. Its energy above the lowest structure with this stoichiometry is 0.310 eV per atom. The value obtained for the formation energy is 0.9743 eV/atom. Its density of states at the Fermi level is 8.192 states/eV/cell. The total magnetization is 0.4 μB per formula unit. As for the space-group type: I-4m2, No. 119.

The structure in CIF format:
```
data_KSr2Os
_chemical_formula_sum 'K2 Sr4 Os2'
_cell_length_a 4.935
_cell_length_b 4.935
_cell_length_c 10.251
_cell_angle_alpha 90.00
_cell_angle_beta 90.00
_cell_angle_gamma 90.00
_symmetry_space_group_name_H-M 'P 1'
_symmetry_Int_Tables_number 1
loop_
_symmetry_equiv_pos_as_xyz
'x,y,z'
loop_
_atom_site_label
_atom_site_type_symbol
_atom_site_fract_x
_atom_site_fract_y
_atom_site_fract_z
_atom_site_occupancy
K1 K 0.000 0.000 0.000 1
K2 K 0.500 0.500 0.500 1
Sr1 Sr 0.000 0.000 0.500 1
Sr2 Sr 0.000 0.500 0.250 1
Sr3 Sr 0.500 0.000 0.750 1
Sr4 Sr 0.500 0.500 0.000 1
Os1 Os 0.000 0.500 0.750 1
Os2 Os 0.500 0.000 0.250 1
```

---

Entry 3:
DFT (GGA-PBE) results for a relaxed structure of KSrOs2.

Values from the calculation:
The total energy comes out at -4.29 eV/atom. Its energy above the lowest structure with this stoichiometry is 1.599 eV per atom. The value obtained for the formation energy is 2.0148 eV/atom. Its density of states at the Fermi level is 36.900 states/eV/cell. The total magnetization is 3.0 μB per formula unit. As for the space-group type: Fm-3m, No. 225.

The structure in CIF format:
```
data_KSrOs2
_chemical_formula_sum 'K4 Sr4 Os8'
_cell_length_a 7.263
_cell_length_b 7.263
_cell_length_c 7.263
_cell_angle_alpha 90.00
_cell_angle_beta 90.00
_cell_angle_gamma 90.00
_symmetry_space_group_name_H-M 'P 1'
_symmetry_Int_Tables_number 1
loop_
_symmetry_equiv_pos_as_xyz
'x,y,z'
loop_
_atom_site_label
_atom_site_type_symbol
_atom_site_fract_x
_atom_site_fract_y
_atom_site_fract_z
_atom_site_occupancy
K1 K 0.000 0.000 0.000 1
K2 K 0.000 0.500 0.500 1
K3 K 0.500 0.000 0.500 1
K4 K 0.500 0.500 0.000 1
Sr1 Sr 0.000 0.000 0.500 1
Sr2 Sr 0.000 0.500 0.000 1
Sr3 Sr 0.500 0.000 0.000 1
Sr4 Sr 0.500 0.500 0.500 1
Os1 Os 0.250 0.250 0.250 1
Os2 Os 0.250 0.250 0.750 1
Os3 Os 0.250 0.750 0.250 1
Os4 Os 0.250 0.750 0.750 1
Os5 Os 0.750 0.250 0.250 1
Os6 Os 0.750 0.250 0.750 1
Os7 Os 0.750 0.750 0.250 1
Os8 Os 0.750 0.750 0.750 1
```

---

Entry 4:
DFT (GGA-PBE) results for a relaxed structure of KSrOs.

Values from the calculation:
The total energy comes out at -3.41 eV/atom. Its energy above the lowest structure with this stoichiometry is 0.194 eV per atom. The value obtained for the formation energy is 1.2625 eV/atom. Its density of states at the Fermi level is 3.364 states/eV/cell. The total magnetization is 0.0 μB per formula unit. As for the space-group type: P3m1, No. 156.

The structure in CIF format:
```
data_KSrOs
_chemical_formula_sum 'K1 Sr1 Os1'
_cell_length_a 3.411
_cell_length_b 3.411
_cell_length_c 8.914
_cell_angle_alpha 90.00
_cell_angle_beta 90.00
_cell_angle_gamma 120.00
_symmetry_space_group_name_H-M 'P 1'
_symmetry_Int_Tables_number 1
loop_
_symmetry_equiv_pos_as_xyz
'x,y,z'
loop_
_atom_site_label
_atom_site_type_symbol
_atom_site_fract_x
_atom_site_fract_y
_atom_site_fract_z
_atom_site_occupancy
K1 K 0.000 0.000 0.000 1
Sr1 Sr 0.333 0.667 0.531 1
Os1 Os 0.667 0.333 0.288 1
```

---

Entry 5:
DFT (GGA-PBE) results for a relaxed structure of KSrOs.

Values from the calculation:
The total energy comes out at -3.56 eV/atom. Its energy above the lowest structure with this stoichiometry is 0.037 eV per atom. The value obtained for the formation energy is 1.1056 eV/atom. Its density of states at the Fermi level is 7.201 states/eV/cell. The total magnetization is 0.8 μB per formula unit. As for the space-group type: I4mm, No. 107.

The structure in CIF format:
```
data_KSrOs
_chemical_formula_sum 'K2 Sr2 Os2'
_cell_length_a 3.369
_cell_length_b 3.369
_cell_length_c 17.049
_cell_angle_alpha 90.00
_cell_angle_beta 90.00
_cell_angle_gamma 90.00
_symmetry_space_group_name_H-M 'P 1'
_symmetry_Int_Tables_number 1
loop_
_symmetry_equiv_pos_as_xyz
'x,y,z'
loop_
_atom_site_label
_atom_site_type_symbol
_atom_site_fract_x
_atom_site_fract_y
_atom_site_fract_z
_atom_site_occupancy
K1 K 0.000 0.000 0.000 1
K2 K 0.500 0.500 0.500 1
Sr1 Sr 0.000 0.000 0.250 1
Sr2 Sr 0.500 0.500 0.750 1
Os1 Os 0.000 0.000 0.639 1
Os2 Os 0.500 0.500 0.139 1
```

---

Entry 6:
DFT (GGA-PBE) results for a relaxed structure of K2SrOs.

Values from the calculation:
The total energy comes out at -2.63 eV/atom. Its energy above the lowest structure with this stoichiometry is 0.288 eV per atom. The value obtained for the formation energy is 1.1457 eV/atom. Its density of states at the Fermi level is 13.055 states/eV/cell. The total magnetization is 1.1 μB per formula unit. As for the space-group type: I4/mmm, No. 139.

The structure in CIF format:
```
data_K2SrOs
_chemical_formula_sum 'K4 Sr2 Os2'
_cell_length_a 4.709
_cell_length_b 4.709
_cell_length_c 11.908
_cell_angle_alpha 90.00
_cell_angle_beta 90.00
_cell_angle_gamma 90.00
_symmetry_space_group_name_H-M 'P 1'
_symmetry_Int_Tables_number 1
loop_
_symmetry_equiv_pos_as_xyz
'x,y,z'
loop_
_atom_site_label
_atom_site_type_symbol
_atom_site_fract_x
_atom_site_fract_y
_atom_site_fract_z
_atom_site_occupancy
K1 K 0.000 0.500 0.250 1
K2 K 0.000 0.500 0.750 1
K3 K 0.500 0.000 0.250 1
K4 K 0.500 0.000 0.750 1
Sr1 Sr 0.000 0.000 0.000 1
Sr2 Sr 0.500 0.500 0.500 1
Os1 Os 0.000 0.000 0.500 1
Os2 Os 0.500 0.500 0.000 1
```

---

Entry 7:
DFT (GGA-PBE) results for a relaxed structure of K2SrOs.

Values from the calculation:
The total energy comes out at -2.39 eV/atom. Its energy above the lowest structure with this stoichiometry is 0.533 eV per atom. The value obtained for the formation energy is 1.3905 eV/atom. Its density of states at the Fermi level is 7.141 states/eV/cell. The total magnetization is 2.2 μB per formula unit. As for the space-group type: R-3m, No. 166.

The structure in CIF format:
```
data_K2SrOs
_chemical_formula_sum 'K6 Sr3 Os3'
_cell_length_a 3.417
_cell_length_b 3.417
_cell_length_c 39.334
_cell_angle_alpha 90.00
_cell_angle_beta 90.00
_cell_angle_gamma 120.00
_symmetry_space_group_name_H-M 'P 1'
_symmetry_Int_Tables_number 1
loop_
_symmetry_equiv_pos_as_xyz
'x,y,z'
loop_
_atom_site_label
_atom_site_type_symbol
_atom_site_fract_x
_atom_site_fract_y
_atom_site_fract_z
_atom_site_occupancy
K1 K 0.000 0.000 0.233 1
K2 K 0.000 0.000 0.767 1
K3 K 0.333 0.667 0.434 1
K4 K 0.333 0.667 0.900 1
K5 K 0.667 0.333 0.100 1
K6 K 0.667 0.333 0.566 1
Sr1 Sr 0.000 0.000 0.000 1
Sr2 Sr 0.333 0.667 0.667 1
Sr3 Sr 0.667 0.333 0.333 1
Os1 Os 0.000 0.000 0.500 1
Os2 Os 0.333 0.667 0.167 1
Os3 Os 0.667 0.333 0.833 1
```

---

Entry 8:
DFT (GGA-PBE) results for a relaxed structure of KSrOs2.

Values from the calculation:
The total energy comes out at -4.93 eV/atom. Its energy above the lowest structure with this stoichiometry is 0.960 eV per atom. The value obtained for the formation energy is 1.3764 eV/atom. Its density of states at the Fermi level is 3.596 states/eV/cell. The total magnetization is 0.0 μB per formula unit. As for the space-group type: P4/mmm, No. 123.

The structure in CIF format:
```
data_KSrOs2
_chemical_formula_sum 'K1 Sr1 Os2'
_cell_length_a 4.123
_cell_length_b 4.123
_cell_length_c 7.127
_cell_angle_alpha 90.00
_cell_angle_beta 90.00
_cell_angle_gamma 90.00
_symmetry_space_group_name_H-M 'P 1'
_symmetry_Int_Tables_number 1
loop_
_symmetry_equiv_pos_as_xyz
'x,y,z'
loop_
_atom_site_label
_atom_site_type_symbol
_atom_site_fract_x
_atom_site_fract_y
_atom_site_fract_z
_atom_site_occupancy
K1 K 0.000 0.000 0.000 1
Sr1 Sr 0.000 0.000 0.500 1
Os1 Os 0.500 0.500 0.343 1
Os2 Os 0.500 0.500 0.657 1
```

---

Entry 9:
DFT (GGA-PBE) results for a relaxed structure of K2SrOs.

Values from the calculation:
The total energy comes out at -2.73 eV/atom. Its energy above the lowest structure with this stoichiometry is 0.188 eV per atom. The value obtained for the formation energy is 1.0455 eV/atom. Its density of states at the Fermi level is 7.658 states/eV/cell. The total magnetization is 0.0 μB per formula unit. As for the space-group type: R3m, No. 160.

The structure in CIF format:
```
data_K2SrOs
_chemical_formula_sum 'K6 Sr3 Os3'
_cell_length_a 3.710
_cell_length_b 3.710
_cell_length_c 38.766
_cell_angle_alpha 90.00
_cell_angle_beta 90.00
_cell_angle_gamma 120.00
_symmetry_space_group_name_H-M 'P 1'
_symmetry_Int_Tables_number 1
loop_
_symmetry_equiv_pos_as_xyz
'x,y,z'
loop_
_atom_site_label
_atom_site_type_symbol
_atom_site_fract_x
_atom_site_fract_y
_atom_site_fract_z
_atom_site_occupancy
K1 K 0.000 0.000 0.000 1
K2 K 0.000 0.000 0.223 1
K3 K 0.333 0.667 0.667 1
K4 K 0.333 0.667 0.890 1
K5 K 0.667 0.333 0.333 1
K6 K 0.667 0.333 0.556 1
Sr1 Sr 0.000 0.000 0.449 1
Sr2 Sr 0.333 0.667 0.116 1
Sr3 Sr 0.667 0.333 0.782 1
Os1 Os 0.000 0.000 0.730 1
Os2 Os 0.333 0.667 0.396 1
Os3 Os 0.667 0.333 0.063 1
```

---

Entry 10:
DFT (GGA-PBE) results for a relaxed structure of KSr2Os.

Values from the calculation:
The total energy comes out at -3.26 eV/atom. Its energy above the lowest structure with this stoichiometry is 0.000 eV per atom. The value obtained for the formation energy is 0.6646 eV/atom. Its density of states at the Fermi level is 7.843 states/eV/cell. The total magnetization is 0.3 μB per formula unit. As for the space-group type: C2/m, No. 12.

The structure in CIF format:
```
data_KSr2Os
_chemical_formula_sum 'K2 Sr4 Os2'
_cell_length_a 8.373
_cell_length_b 3.692
_cell_length_c 10.908
_cell_angle_alpha 90.00
_cell_angle_beta 95.39
_cell_angle_gamma 90.00
_symmetry_space_group_name_H-M 'P 1'
_symmetry_Int_Tables_number 1
loop_
_symmetry_equiv_pos_as_xyz
'x,y,z'
loop_
_atom_site_label
_atom_site_type_symbol
_atom_site_fract_x
_atom_site_fract_y
_atom_site_fract_z
_atom_site_occupancy
K1 K 0.000 0.000 0.000 1
K2 K 0.500 0.500 0.000 1
Sr1 Sr 0.220 0.000 0.653 1
Sr2 Sr 0.280 0.500 0.347 1
Sr3 Sr 0.720 0.500 0.653 1
Sr4 Sr 0.780 0.000 0.347 1
Os1 Os 0.000 0.500 0.500 1
Os2 Os 0.500 0.000 0.500 1
```

---

Entry 11:
DFT (GGA-PBE) results for a relaxed structure of KSrOs2.

Values from the calculation:
The total energy comes out at -4.66 eV/atom. Its energy above the lowest structure with this stoichiometry is 1.235 eV per atom. The value obtained for the formation energy is 1.6508 eV/atom. Its density of states at the Fermi level is 17.590 states/eV/cell. The total magnetization is 1.5 μB per formula unit. As for the space-group type: I-42d, No. 122.

The structure in CIF format:
```
data_KSrOs2
_chemical_formula_sum 'K4 Sr4 Os8'
_cell_length_a 8.681
_cell_length_b 8.681
_cell_length_c 5.224
_cell_angle_alpha 90.00
_cell_angle_beta 90.00
_cell_angle_gamma 90.00
_symmetry_space_group_name_H-M 'P 1'
_symmetry_Int_Tables_number 1
loop_
_symmetry_equiv_pos_as_xyz
'x,y,z'
loop_
_atom_site_label
_atom_site_type_symbol
_atom_site_fract_x
_atom_site_fract_y
_atom_site_fract_z
_atom_site_occupancy
K1 K 0.000 0.000 0.000 1
K2 K 0.000 0.500 0.250 1
K3 K 0.500 0.000 0.750 1
K4 K 0.500 0.500 0.500 1
Sr1 Sr 0.000 0.000 0.500 1
Sr2 Sr 0.000 0.500 0.750 1
Sr3 Sr 0.500 0.000 0.250 1
Sr4 Sr 0.500 0.500 0.000 1
Os1 Os 0.247 0.250 0.625 1
Os2 Os 0.250 0.747 0.875 1
Os3 Os 0.250 0.753 0.375 1
Os4 Os 0.253 0.250 0.125 1
Os5 Os 0.747 0.750 0.125 1
Os6 Os 0.750 0.247 0.375 1
Os7 Os 0.750 0.253 0.875 1
Os8 Os 0.753 0.750 0.625 1
```

---

Entry 12:
DFT (GGA-PBE) results for a relaxed structure of KSrOs2.

Values from the calculation:
The total energy comes out at -4.97 eV/atom. Its energy above the lowest structure with this stoichiometry is 0.921 eV per atom. The value obtained for the formation energy is 1.3371 eV/atom. Its density of states at the Fermi level is 10.935 states/eV/cell. The total magnetization is 0.6 μB per formula unit. As for the space-group type: R-3m, No. 166.

The structure in CIF format:
```
data_KSrOs2
_chemical_formula_sum 'K3 Sr3 Os6'
_cell_length_a 2.864
_cell_length_b 2.864
_cell_length_c 33.575
_cell_angle_alpha 90.00
_cell_angle_beta 90.00
_cell_angle_gamma 120.00
_symmetry_space_group_name_H-M 'P 1'
_symmetry_Int_Tables_number 1
loop_
_symmetry_equiv_pos_as_xyz
'x,y,z'
loop_
_atom_site_label
_atom_site_type_symbol
_atom_site_fract_x
_atom_site_fract_y
_atom_site_fract_z
_atom_site_occupancy
K1 K 0.000 0.000 0.000 1
K2 K 0.333 0.667 0.667 1
K3 K 0.667 0.333 0.333 1
Sr1 Sr 0.000 0.000 0.500 1
Sr2 Sr 0.333 0.667 0.167 1
Sr3 Sr 0.667 0.333 0.833 1
Os1 Os 0.000 0.000 0.248 1
Os2 Os 0.000 0.000 0.752 1
Os3 Os 0.333 0.667 0.419 1
Os4 Os 0.333 0.667 0.914 1
Os5 Os 0.667 0.333 0.086 1
Os6 Os 0.667 0.333 0.581 1
```